Pu4N3O2 | GGA-PBE | relaxed

Geometry as CIF:
```
data_Pu4N3O2
_cell_length_a 10.9831
_cell_length_b 7.9064
_cell_length_c 6.5589
_cell_angle_alpha 90.00
_cell_angle_beta 90.32
_cell_angle_gamma 90.00
_space_group_name_H-M_alt 'C 1 2/c 1'
_space_group_IT_number 15
loop_
_space_group_symop_operation_xyz
'x,y,z'
'-x,-y,-z'
'-x,y,-z+1/2'
'x,-y,z+1/2'
'x+1/2,y+1/2,z'
'-x+1/2,-y+1/2,-z'
'-x+1/2,y+1/2,-z+1/2'
'x+1/2,-y+1/2,z+1/2'
loop_
_atom_site_label
_atom_site_type_symbol
_atom_site_fract_x
_atom_site_fract_y
_atom_site_fract_z
Pu1 Pu 0.1146 0.1428 0.3984
Pu2 Pu 0.1301 0.3946 0.9434
N1 N 0.0000 0.3994 0.2500
N2 N 0.1402 0.1083 0.0567
O1 O 0.1805 0.3600 0.6086
```

DOS(E_F): 106.24 states/eV per cell
raw formation energy: -1472 kJ/mol of formula units
final energy: -107.5 eV/f.u.